The following is a DFT calculation (PBE with a Hubbard U) of a relaxed structure of MgCoH2Cl2O2.

Output
V: 12.6 Å³ per atom
SG: P3m1
raw total energy: -4.763 eV per atom

Unit cell a=3.3651 b=3.3651 c=10.2574 alpha=90.00 beta=90.00 gamma=120.00
Last column: nearest neighbours and their distance in Å.
Atoms (fractional coordinates):
H 0.3333 0.6667 0.6788  1 O 0.98
Co 0.0000 0.0000 0.0068  3 O 2.09
O 0.3333 0.6667 0.0828  1 H 0.98
Cl 0.0000 0.0000 0.3496  3 Mg 2.54, 3 H 2.62
H 0.3333 0.6667 0.1784  1 O 0.98
Cl 0.6667 0.3333 0.8525  3 Co 2.51, 3 H 2.64
Mg 0.6667 0.3333 0.5085  3 O 2.09
O 0.3333 0.6667 0.5835  1 H 0.98